Record 1
DFT (PBE) results for crystalline Li2AcH8Ir at its relaxed geometry.

Output
Volume: 118.25 Å³/cell
Total DFT energy (no corrections): -4.148 eV/atom
Space group: No. 147

Structure (POSCAR):
```
Li2AcH8Ir
1.0
4.584 0.000 0.000
-2.292 3.970 0.000
0.000 0.000 6.499
Li Ac H Ir
2 1 8 1
Cartesian
0.000 2.646 0.705
2.292 1.323 5.794
0.000 0.000 3.250
-0.141 1.350 5.518
-1.052 3.416 5.518
0.000 2.646 2.820
1.099 0.797 0.981
1.193 3.173 5.518
2.292 1.323 3.679
3.344 0.553 0.981
2.433 2.619 0.981
0.000 0.000 0.000
```

=====

Record 2
DFT (PBE) results for crystalline Y6NbO12 at its relaxed geometry.

Output
Raw formation energy: -3.287 eV per atom
Volume: 264.82 Å³/cell
Total DFT energy (no corrections): -8.990 eV/atom
Space group: No. 148

Structure (POSCAR):
```
Y6NbO12
1.0
4.939 2.851 3.134
-4.939 2.851 3.134
0.000 -5.703 3.134
Y Nb O
6 1 12
Cartesian
-3.413 -1.042 4.864
-0.804 -3.477 4.538
-2.609 2.435 4.538
2.609 -2.435 4.864
0.804 3.477 4.864
3.413 1.042 4.538
0.000 0.000 4.701
-4.197 0.948 4.072
-2.920 -3.161 5.330
-1.145 -1.316 3.653
1.277 -4.109 4.072
-0.567 1.649 3.653
-1.712 0.334 5.749
1.712 -0.334 3.653
0.567 -1.649 5.749
-1.277 4.109 5.330
1.145 1.316 5.749
2.920 3.161 4.072
4.197 -0.948 5.330
```